# 1
Compound: Zr2Cl
Source: OQMD via LeMat-Bulk
Functional: PBE-GGA
Structure: relaxed

symmetry	Fd-3m
excess energy over the best structure of this formula in the dataset	106.4	kJ/mol of atoms

abc: 7.7204 7.7204 7.7204
angles: 60.00 60.00 60.00
Closest atoms and distances in Å follow each position.
Atoms (fractional coordinates):
Zr: 0.3750 0.8750 0.3750  2 Cl 2.36
Zr: 0.3750 0.3750 0.3750  2 Cl 2.36
Cl: 0.5000 0.5000 0.5000  4 Zr 2.36
Zr: 0.8750 0.3750 0.3750  2 Cl 2.36
Zr: 0.3750 0.3750 0.8750  2 Cl 2.36
Cl: 0.2500 0.2500 0.2500  4 Zr 2.36

# 2
Compound: ZrCl2
Source: OQMD via LeMat-Bulk
Functional: PBE-GGA
Structure: relaxed

symmetry	R3m
VASP energy	-5.7155	eV per atom

abc: 3.4070 3.4070 6.8173
angles: 75.53 104.47 120.00
Closest atoms and distances in Å follow each position.
Atoms (fractional coordinates):
Cl: 0.7544 0.2456 0.2631  3 Zr 2.61
Cl: 0.5787 0.4213 0.7361  3 Zr 2.61
Zr: 0.0000 0.0000 0.9998  6 Cl 2.61

# 3
Compound: ZrCl4
Source: OQMD via LeMat-Bulk
Functional: PBE-GGA
Structure: relaxed

symmetry	Pca2_1
VASP energy	-4.9502	eV per atom

abc: 12.1110 7.4295 6.2840
angles: 90.00 90.00 90.00
Closest atoms and distances in Å follow each position.
Atoms (fractional coordinates):
Cl: 0.3852 0.8933 0.2484  2 Zr 2.51-2.69
Cl: 0.3727 0.3688 0.2792  1 Zr 2.34
Cl: 0.1129 0.1096 0.4060  2 Zr 2.51-2.69
Cl: 0.1284 0.3642 0.9286  1 Zr 2.34
Cl: 0.6129 0.1096 0.0940  2 Zr 2.51-2.69
Cl: 0.6129 0.8904 0.5940  2 Zr 2.51-2.69
Cl: 0.8853 0.8933 0.2516  2 Zr 2.51-2.69
Cl: 0.6284 0.6358 0.0714  1 Zr 2.34
Zr: 0.5000 0.1662 0.4226  4 Cl 2.34-2.51
Cl: 0.3852 0.1067 0.7484  2 Zr 2.51-2.69
Cl: 0.6284 0.3642 0.5714  1 Zr 2.34
Zr: 0.0000 0.8338 0.5774  4 Cl 2.34-2.51
Cl: 0.1284 0.6358 0.4286  1 Zr 2.34
Cl: 0.1129 0.8904 0.9060  2 Zr 2.51-2.69
Cl: 0.3727 0.6312 0.7792  1 Zr 2.34
Cl: 0.8727 0.3688 0.2208  1 Zr 2.34
Zr: 0.5000 0.8338 0.9226  4 Cl 2.34-2.51
Cl: 0.8853 0.1067 0.7516  2 Zr 2.51-2.69
Zr: 0.0000 0.1662 0.0774  4 Cl 2.34-2.51
Cl: 0.8727 0.6312 0.7208  1 Zr 2.34

# 4
Compound: Zr2Cl
Source: OQMD via LeMat-Bulk
Functional: PBE-GGA
Structure: relaxed

symmetry	Fd-3m
excess energy over the best structure of this formula in the dataset	0.0	kJ/mol of atoms

abc: 5.9095 5.9095 5.9095
angles: 60.00 60.00 60.00
Closest atoms and distances in Å follow each position.
Atoms (fractional coordinates):
Zr: 0.1250 0.6250 0.6250  6 Zr 2.95
Cl: 0.2500 0.2500 0.2500  12 Zr 3.46, 4 Cl 3.62
Cl: 0.0000 0.0000 0.0000  12 Zr 3.46, 4 Cl 3.62
Zr: 0.6250 0.1250 0.6250  6 Zr 2.95
Zr: 0.6250 0.6250 0.6250  6 Zr 2.95
Zr: 0.6250 0.6250 0.1250  6 Zr 2.95

# 5
Compound: ZrCl2
Source: OQMD via LeMat-Bulk
Functional: PBE-GGA
Structure: relaxed

symmetry	P4_2/mnm
VASP energy	-5.4333	eV per atom

abc: 6.5842 6.5842 3.2171
angles: 90.00 90.00 90.00
Closest atoms and distances in Å follow each position.
Atoms (fractional coordinates):
Cl: 0.7782 0.2218 0.5000  3 Zr 2.59-2.62
Zr: 0.5000 0.5000 0.5000  6 Cl 2.59-2.62
Cl: 0.7218 0.7218 0.0000  3 Zr 2.59-2.62
Cl: 0.2218 0.7782 0.5000  3 Zr 2.59-2.62
Cl: 0.2782 0.2782 0.0000  3 Zr 2.59-2.62
Zr: 0.0000 0.0000 0.0000  6 Cl 2.59-2.62

# 6
Compound: ZrCl4
Source: OQMD via LeMat-Bulk
Functional: PBE-GGA
Structure: relaxed

symmetry	I4/mmm
VASP energy	-4.8074	eV per atom

abc: 6.3639 6.3639 6.3639
angles: 132.72 132.72 69.09
Closest atoms and distances in Å follow each position.
Atoms (fractional coordinates):
Cl: 0.2264 0.2264 0.0000  1 Zr 2.37
Cl: 0.0000 0.5000 0.5000  2 Zr 2.55
Cl: 0.5000 0.0000 0.5000  2 Zr 2.55
Zr: 0.0000 0.0000 0.0000  6 Cl 2.37-2.55
Cl: 0.7736 0.7736 0.0000  1 Zr 2.37

# 7
Compound: ZrCl2
Source: OQMD via LeMat-Bulk
Functional: PBE-GGA
Structure: relaxed

symmetry	Fd-3m
VASP energy	-3.7616	eV per atom

abc: 5.7018 5.7018 5.7018
angles: 60.00 60.00 60.00
Closest atoms and distances in Å follow each position.
Atoms (fractional coordinates):
Cl: 0.6250 0.6250 0.6250  6 Cl 2.85
Zr: 0.0000 0.0000 0.0000  12 Cl 3.34, 4 Zr 3.49
Cl: 0.6250 0.6250 0.1250  6 Cl 2.85
Cl: 0.6250 0.1250 0.6250  6 Cl 2.85
Cl: 0.1250 0.6250 0.6250  6 Cl 2.85
Zr: 0.2500 0.2500 0.2500  12 Cl 3.34, 4 Zr 3.49

# 8
Compound: ZrCl2
Source: OQMD via LeMat-Bulk
Functional: PBE-GGA
Structure: relaxed

symmetry	Fd-3m
VASP energy	-4.9408	eV per atom

abc: 8.1014 8.1014 8.1014
angles: 60.00 60.00 60.00
Closest atoms and distances in Å follow each position.
Atoms (fractional coordinates):
Cl: 0.3750 0.8750 0.3750  2 Zr 2.48
Zr: 0.2500 0.2500 0.2500  4 Cl 2.48
Cl: 0.3750 0.3750 0.3750  2 Zr 2.48
Cl: 0.8750 0.3750 0.3750  2 Zr 2.48
Cl: 0.3750 0.3750 0.8750  2 Zr 2.48
Zr: 0.5000 0.5000 0.5000  4 Cl 2.48

# 9
Compound: CsCo2
Source: OQMD via LeMat-Bulk
Functional: PBE-GGA
Structure: relaxed

symmetry	Fd-3m
excess energy over the best structure of this formula in the dataset	208.3	kJ/mol of atoms

abc: 8.0121 8.0121 8.0121
angles: 60.00 60.00 60.00
Closest atoms and distances in Å follow each position.
Atoms (fractional coordinates):
Cs: 0.5000 0.5000 0.5000  4 Co 2.45
Cs: 0.2500 0.2500 0.2500  4 Co 2.45
Co: 0.3750 0.8750 0.3750  2 Cs 2.45
Co: 0.3750 0.3750 0.3750  2 Cs 2.45
Co: 0.8750 0.3750 0.3750  2 Cs 2.45
Co: 0.3750 0.3750 0.8750  2 Cs 2.45

# 10
Compound: CsCo2
Source: OQMD via LeMat-Bulk
Functional: PBE-GGA
Structure: relaxed

symmetry	Fd-3m
excess energy over the best structure of this formula in the dataset	0.0	kJ/mol of atoms

abc: 5.4863 5.4863 5.4863
angles: 60.00 60.00 60.00
Closest atoms and distances in Å follow each position.
Atoms (fractional coordinates):
Cs: 0.0000 0.0000 0.0000  12 Co 3.22, 4 Cs 3.36
Co: 0.6250 0.6250 0.6250  6 Co 2.74
Cs: 0.2500 0.2500 0.2500  12 Co 3.22, 4 Cs 3.36
Co: 0.1250 0.6250 0.6250  6 Co 2.74
Co: 0.6250 0.6250 0.1250  6 Co 2.74
Co: 0.6250 0.1250 0.6250  6 Co 2.74

# 11
Compound: CsCoCuRe
Source: OQMD via LeMat-Bulk
Functional: PBE-GGA
Structure: relaxed

symmetry	F-43m
excess energy over the best structure of this formula in the dataset	17.4	kJ/mol of atoms

abc: 4.5881 4.5881 4.5881
angles: 60.00 60.00 60.00
Closest atoms and distances in Å follow each position.
Atoms (fractional coordinates):
Co: 0.0000 0.0000 0.0000  4 Cu 2.81, 4 Cs 2.81
Cs: 0.2500 0.2500 0.2500  4 Re 2.81, 4 Co 2.81
Re: 0.5000 0.5000 0.5000  4 Cs 2.81, 4 Cu 2.81
Cu: 0.7500 0.7500 0.7500  4 Re 2.81, 4 Co 2.81

# 12
Compound: CsCoCuRe
Source: OQMD via LeMat-Bulk
Functional: PBE-GGA
Structure: relaxed

symmetry	F-43m
excess energy over the best structure of this formula in the dataset	7.1	kJ/mol of atoms

abc: 4.5959 4.5959 4.5959
angles: 60.00 60.00 60.00
Closest atoms and distances in Å follow each position.
Atoms (fractional coordinates):
Re: 0.2500 0.2500 0.2500  4 Co 2.81, 4 Cs 2.81
Cs: 0.0000 0.0000 0.0000  4 Cu 2.81, 4 Re 2.81
Cu: 0.7500 0.7500 0.7500  4 Co 2.81, 4 Cs 2.81
Co: 0.5000 0.5000 0.5000  4 Cu 2.81, 4 Re 2.81

Results for V: 54.2, 21.9, 28.3, 24.3, 23.2, 27.3, 21.8, 62.7, 60.6, 19.5, 17.1, 17.2 (in Å³ per atom, following the order of the records).